Below is a relaxed Li5Ti8O16 crystal, with properties calculated at the PBEsol level.

Lattice parameters (Å, degrees): 5.240 7.564 7.753 93.81 105.63 108.59
Space group P1 (No. 1)
Inequivalent atoms, fractional coordinates:
Li 0.000 0.000 0.000 (multiplicity 1)
Li 0.006 0.495 0.490 (multiplicity 1)
Li 0.077 0.848 0.587 (multiplicity 1)
Li 0.507 0.498 0.998 (multiplicity 1)
Li 0.556 0.334 0.588 (multiplicity 1)
Ti 0.008 0.112 0.352 (multiplicity 1)
Ti 0.039 0.222 0.720 (multiplicity 1)
Ti 0.041 0.612 0.873 (multiplicity 1)
Ti 0.061 0.727 0.224 (multiplicity 1)
Ti 0.515 0.615 0.351 (multiplicity 1)
Ti 0.535 0.112 0.873 (multiplicity 1)
Ti 0.550 0.219 0.224 (multiplicity 1)
Ti 0.552 0.728 0.718 (multiplicity 1)
O 0.253 0.995 0.235 (multiplicity 1)
O 0.263 0.117 0.618 (multiplicity 1)
O 0.266 0.492 0.739 (multiplicity 1)
O 0.282 0.612 0.107 (multiplicity 1)
O 0.296 0.722 0.475 (multiplicity 1)
O 0.303 0.222 0.968 (multiplicity 1)
O 0.308 0.843 0.835 (multiplicity 1)
O 0.312 0.347 0.352 (multiplicity 1)
O 0.762 0.493 0.241 (multiplicity 1)
O 0.770 0.992 0.747 (multiplicity 1)
O 0.775 0.109 0.108 (multiplicity 1)
O 0.776 0.615 0.613 (multiplicity 1)
O 0.800 0.231 0.477 (multiplicity 1)
O 0.804 0.344 0.837 (multiplicity 1)
O 0.806 0.720 0.967 (multiplicity 1)
O 0.820 0.844 0.349 (multiplicity 1)

Results
* total DFT energy (no corrections): -8.35 eV/atom
* calculated volume: 276.5 Å³/cell
* formation energy without anion corrections: -2.82 eV/atom


Below is a relaxed Li4Ti3O8 crystal, with properties calculated at the PBEsol level.

Lattice parameters (Å, degrees): 5.8264 5.8264 14.1673 90.00 90.00 120.00
Space group R-3m (No. 166, hexagonal axes)
Inequivalent atoms, fractional coordinates:
Li 0.0000 0.0000 0.0000 (multiplicity 3)
Li 0.0000 0.5000 0.0000 (multiplicity 9)
Ti 0.0000 0.5000 0.5000 (multiplicity 9)
O 0.0000 0.0000 0.2463 (multiplicity 6)
O 0.0260 0.5130 0.7584 (multiplicity 18)

Results
* total DFT energy (no corrections): -7.65 eV/atom
* calculated volume: 416.5 Å³/cell
* formation energy without anion corrections: -2.66 eV/atom


Below is a relaxed Li4Ti5O12 crystal, with properties calculated at the PBEsol level.

Lattice parameters (Å, degrees): 8.337 8.303 13.143 90.00 108.02 90.00
Space group C2/c (No. 15)
Inequivalent atoms, fractional coordinates:
Li 0.000 0.127 0.250 (multiplicity 4)
Li 0.169 0.367 0.084 (multiplicity 8)
Li 0.250 0.250 0.500 (multiplicity 4)
Ti 0.000 0.000 0.000 (multiplicity 4)
Ti 0.090 0.254 0.663 (multiplicity 8)
Ti 0.166 0.497 0.343 (multiplicity 8)
O 0.009 0.233 0.513 (multiplicity 8)
O 0.074 0.487 0.672 (multiplicity 8)
O 0.093 0.009 0.658 (multiplicity 8)
O 0.146 0.265 0.823 (multiplicity 8)
O 0.182 0.270 0.331 (multiplicity 8)
O 0.240 0.001 0.510 (multiplicity 8)

Results
* total DFT energy (no corrections): -8.19 eV/atom
* calculated volume: 865.2 Å³/cell
* formation energy without anion corrections: -2.83 eV/atom


Below is a relaxed LiTi2O4 crystal, with properties calculated at the PBEsol level.

Lattice parameters (Å, degrees): 2.915 5.042 9.664 90.00 90.00 90.00
Space group Pmc2_1 (No. 26)
Inequivalent atoms, fractional coordinates:
Li 0.000 0.188 0.000 (multiplicity 2)
Ti 0.000 0.235 0.674 (multiplicity 2)
Ti 0.500 0.271 0.392 (multiplicity 2)
O 0.000 0.034 0.323 (multiplicity 2)
O 0.000 0.446 0.500 (multiplicity 2)
O 0.500 0.036 0.571 (multiplicity 2)
O 0.500 0.450 0.758 (multiplicity 2)

Results
* total DFT energy (no corrections): -8.50 eV/atom
* calculated volume: 142.1 Å³/cell
* formation energy without anion corrections: -2.85 eV/atom


Below is a relaxed LiTi2O4 crystal, with properties calculated at the PBEsol level.

Lattice parameters (Å, degrees): 8.360 8.360 8.360 90.00 90.00 90.00
Space group Fd-3m (No. 227, origin choice 2)
Inequivalent atoms, fractional coordinates:
Li 0.125 0.125 0.125 (multiplicity 8)
Ti 0.000 0.000 0.500 (multiplicity 16)
O 0.012 0.012 0.738 (multiplicity 32)

Results
* total DFT energy (no corrections): -8.54 eV/atom
* calculated volume: 584.4 Å³/cell
* formation energy without anion corrections: -2.89 eV/atom


Below is a relaxed Li3Ti4O8 crystal, with properties calculated at the PBEsol level.

Lattice parameters (Å, degrees): 5.018 9.538 5.652 90.00 90.32 90.00
Space group P2_1 (No. 4)
Inequivalent atoms, fractional coordinates:
Li 0.070 0.000 0.119 (multiplicity 2)
Li 0.075 0.275 0.619 (multiplicity 2)
Li 0.416 0.501 0.126 (multiplicity 2)
Ti 0.108 0.261 0.132 (multiplicity 2)
Ti 0.115 0.009 0.622 (multiplicity 2)
Ti 0.409 0.770 0.134 (multiplicity 2)
Ti 0.414 0.518 0.629 (multiplicity 2)
O 0.053 0.630 0.626 (multiplicity 2)
O 0.065 0.646 0.125 (multiplicity 2)
O 0.232 0.398 0.377 (multiplicity 2)
O 0.237 0.883 0.881 (multiplicity 2)
O 0.252 0.892 0.373 (multiplicity 2)
O 0.253 0.387 0.879 (multiplicity 2)
O 0.428 0.137 0.125 (multiplicity 2)
O 0.430 0.134 0.642 (multiplicity 2)

Results
* total DFT energy (no corrections): -8.14 eV/atom
* calculated volume: 270.5 Å³/cell
* formation energy without anion corrections: -2.73 eV/atom